The following is a GGA-PBE calculation of crystalline KLi2Nb3N6 at its relaxed geometry, from Alexandria.

POSCAR file:
```
KLi2Nb3N6
1.0
3.1476 0.0000 0.0000
0.0000 7.3127 -0.1445
-1.5738 -2.5324 6.7754
N Li Nb K
6 2 3 1
Direct
0.6624 0.6122 0.3248 N
0.6767 0.0183 0.3534 N
0.3233 0.9817 0.6466 N
0.0109 0.6997 0.0218 N
0.9891 0.3003 0.9782 N
0.3376 0.3878 0.6752 N
0.8433 0.5839 0.6866 Li
0.1567 0.4161 0.3134 Li
0.1744 0.8267 0.3489 Nb
0.5000 0.5000 0.0000 Nb
0.8256 0.1733 0.6511 Nb
0.5000 0.0000 0.0000 K
```

Summary:
For the formation energy from raw total energies, the calculation gives -0.71 eV per atom. The total magnetization comes out at 0.00 μB per cell. The calculation puts the calculated total energy at -93.58 eV/f.u.